1.
DFT (GGA-PBE) results for a geometry-optimized PmSm4Ho2Tm structure.

Results
Space group: C2/c
Energy of formation from the pure elements in eV/f.u.: 3.3
Mass density in g cm⁻³: 7.69

Unit cell a=9.529 b=9.529 c=11.835 alpha=128.39 beta=128.39 gamma=88.34
Fractional positions:
Pm (0.000, 0.500, 0.000)
Pm (0.000, 0.500, 0.500)
Sm (0.249, 0.752, 0.000)
Sm (0.748, 0.251, 0.500)
Sm (0.252, 0.749, 0.500)
Sm (0.751, 0.248, 0.000)
Sm (0.744, 0.748, 0.995)
Sm (0.752, 0.756, 0.505)
Sm (0.248, 0.244, 0.495)
Sm (0.256, 0.252, 0.005)
Ho (0.500, 0.000, 0.000)
Ho (0.500, 0.000, 0.500)
Ho (0.000, 0.000, 0.500)
Ho (0.500, 0.500, 0.000)
Tm (0.500, 0.500, 0.500)
Tm (0.000, 0.000, 0.000)

2.
DFT (GGA-PBE) results for a geometry-optimized Ta8Tl structure.

Results
Space group: I4/mmm
Energy of formation from the pure elements in eV/f.u.: 1.1
Mass density in g cm⁻³: 16.24

Unit cell a=7.224 b=7.224 c=7.224 alpha=93.23 beta=93.23 gamma=152.52
Fractional positions:
Ta (0.672, 0.328, 0.000)
Ta (0.328, 0.672, 0.000)
Ta (0.000, 0.665, 0.665)
Ta (0.328, 0.328, 0.656)
Ta (0.665, 0.000, 0.665)
Ta (0.672, 0.672, 0.344)
Ta (0.000, 0.335, 0.335)
Ta (0.335, 0.000, 0.335)
Tl (0.000, 0.000, 0.000)

3.
DFT (GGA-PBE) results for a geometry-optimized BaIr2Os structure.

Results
E above lowest polymorph in meV/atom: 1104
Space group: P4/mmm
Energy of formation from the pure elements in eV/f.u.: 4.9
Mass density in g cm⁻³: 15.48

Unit cell a=4.216 b=4.257 c=4.257 alpha=90.00 beta=90.00 gamma=90.00
Fractional positions:
Ir (0.000, 0.000, 0.000)
Ir (0.000, 0.500, 0.500)
Os (0.500, 0.500, 0.000)
Ba (0.500, 0.000, 0.500)

4.
DFT (GGA-PBE) results for a geometry-optimized CaZr2Tl structure.

Results
E above lowest polymorph in meV/atom: 313
Space group: Fm-3m
Energy of formation from the pure elements in eV/f.u.: 1.1
Mass density in g cm⁻³: 7.27

Unit cell a=5.167 b=5.167 c=5.167 alpha=60.00 beta=60.00 gamma=60.00
Fractional positions:
Tl (0.500, 0.500, 0.500)
Ca (0.000, 0.000, 0.000)
Zr (0.250, 0.250, 0.250)
Zr (0.750, 0.750, 0.750)

5.
DFT (GGA-PBE) results for a geometry-optimized TbPr7Y3 structure.

Results
E above lowest polymorph in meV/atom: 15
Space group: C2/m
Energy of formation from the pure elements in eV/f.u.: 2.6
Mass density in g cm⁻³: 5.90

Unit cell a=6.527 b=7.859 c=7.859 alpha=82.10 beta=85.77 gamma=85.77
Fractional positions:
Tb (0.500, 0.500, 0.500)
Pr (0.785, 0.239, 0.239)
Pr (0.739, 0.923, 0.576)
Pr (0.261, 0.424, 0.077)
Pr (0.739, 0.576, 0.923)
Pr (0.000, 0.500, 0.500)
Pr (0.261, 0.077, 0.424)
Pr (0.215, 0.761, 0.761)
Y (0.000, 0.832, 0.168)
Y (0.500, 0.000, 0.000)
Y (0.000, 0.168, 0.832)

6.
DFT (GGA-PBE) results for a geometry-optimized Hf8Nb2Sb structure.

Results
Raw formation energy in eV per atom: 0.10
Space group: C2/m
Mass density in g cm⁻³: 11.70

Unit cell a=5.182 b=7.783 c=7.783 alpha=120.11 beta=102.15 gamma=102.15
Fractional positions:
Hf (0.863, 0.899, 0.670)
Hf (0.863, 0.670, 0.899)
Hf (0.289, 0.596, 0.596)
Hf (0.500, 0.781, 0.219)
Hf (0.500, 0.219, 0.781)
Hf (0.711, 0.404, 0.404)
Hf (0.137, 0.330, 0.101)
Hf (0.137, 0.101, 0.330)
Nb (0.000, 0.298, 0.702)
Nb (0.000, 0.702, 0.298)
Sb (0.500, 0.000, 0.000)

7.
DFT (GGA-PBE) results for a geometry-optimized NaNp3Pd2Se6 structure.

Results
Raw formation energy in eV per atom: -0.92
Space group: C2/m
Mass density in g cm⁻³: 8.86

Unit cell a=4.162 b=7.450 c=8.838 alpha=89.36 beta=103.62 gamma=90.00
Fractional positions:
Na (0.500, 0.000, 0.000)
Np (0.500, 0.500, 0.000)
Np (0.800, 0.243, 0.600)
Np (0.200, 0.757, 0.400)
Pd (0.868, 0.732, 0.737)
Pd (0.132, 0.268, 0.263)
Se (0.334, 0.980, 0.668)
Se (0.665, 0.487, 0.330)
Se (0.666, 0.020, 0.332)
Se (0.977, 0.253, 0.954)
Se (0.023, 0.747, 0.046)
Se (0.335, 0.513, 0.670)

8.
DFT (GGA-PBE) results for a geometry-optimized MgCu2Au structure.

Results
Space group: Pm
Energy of formation from the pure elements in eV/f.u.: -0.7
Mass density in g cm⁻³: 9.57

Unit cell a=3.452 b=3.014 c=6.557 alpha=62.35 beta=90.00 gamma=90.00
Fractional positions:
Au (0.500, 0.739, 0.760)
Cu (0.000, 0.976, 0.025)
Cu (0.500, 0.275, 0.226)
Mg (0.000, 0.511, 0.489)

> Look up the mass density of the eighth one.

9.57 g cm⁻³

Copy entry 6 word for word.
DFT (GGA-PBE) results for a geometry-optimized Hf8Nb2Sb structure.

Results
Raw formation energy in eV per atom: 0.10
Space group: C2/m
Mass density in g cm⁻³: 11.70

Unit cell a=5.182 b=7.783 c=7.783 alpha=120.11 beta=102.15 gamma=102.15
Fractional positions:
Hf (0.863, 0.899, 0.670)
Hf (0.863, 0.670, 0.899)
Hf (0.289, 0.596, 0.596)
Hf (0.500, 0.781, 0.219)
Hf (0.500, 0.219, 0.781)
Hf (0.711, 0.404, 0.404)
Hf (0.137, 0.330, 0.101)
Hf (0.137, 0.101, 0.330)
Nb (0.000, 0.298, 0.702)
Nb (0.000, 0.702, 0.298)
Sb (0.500, 0.000, 0.000)

> Which of these has the lowest mass density?

TbPr7Y3